1.
# PBE-GGA Pr3YIn3, optimized geometry
data_Pr3YIn3
_chemical_formula_sum 'Pr12 Y4 In12'
_symmetry_space_group_name_H-M 'C 1 2/m 1'
_symmetry_Int_Tables_number 12
_symmetry_space_group_name_Hall '-C 2y'
_cell_length_a 8.3802
_cell_length_b 10.8150
_cell_length_c 9.8550
_cell_angle_alpha 90.00
_cell_angle_beta 91.82
_cell_angle_gamma 90.00
loop_
_atom_site_label
_atom_site_type_symbol
_atom_site_fract_x
_atom_site_fract_y
_atom_site_fract_z
Pr1 Pr 0.0000 0.1807 0.0000
Pr2 Pr 0.0000 0.2377 0.5000
Pr3 Pr 0.0938 0.5000 0.8194
Y1 Y 0.2225 0.5000 0.4593
In1 In 0.0236 0.0000 0.2693
In2 In 0.2353 0.2856 0.2405
# Energy of formation   -0.283 eV/atom
# E above lowest polymorph   61 meV per atom

---

2.
# PBE-GGA Pr2YIn, optimized geometry
data_Pr2YIn
_chemical_formula_sum 'Pr8 Y4 In4'
_symmetry_space_group_name_H-M 'A m m 2'
_symmetry_Int_Tables_number 38
_symmetry_space_group_name_Hall 'A 2 -2'
_cell_length_a 5.5857
_cell_length_b 7.1492
_cell_length_c 12.3865
_cell_angle_alpha 90.00
_cell_angle_beta 90.00
_cell_angle_gamma 90.00
loop_
_atom_site_label
_atom_site_type_symbol
_atom_site_fract_x
_atom_site_fract_y
_atom_site_fract_z
Pr1 Pr 0.0000 0.0000 0.0000
Pr2 Pr 0.0000 0.2394 0.2339
Pr3 Pr 0.5000 0.0000 0.6489
Y1 Y 0.5000 0.2392 0.4110
In1 In 0.0000 0.0000 0.4853
In2 In 0.5000 0.0000 0.1582
# Energy of formation   -0.257 eV/atom
# E above lowest polymorph   18 meV per atom

---

Number 1 is which compound? Pr3YIn3

---

Look up the energy of formation of the second one. -0.257 eV/atom

---

The lowest E above lowest polymorph belongs to which entry? Pr2YIn